(1)
Here is an optimized crystal structure of Y4CuIr from the Alexandria database. Energies are from PBE.

Computed properties:
Size of the total moment, μB/f.u.: 0.0
Formation energy, kcal/mol of atoms: 17.7

abc: 5.9573 5.9573 5.9573
angles: 60.00 60.00 60.00
Positions (direct):
Y1 0.3763 0.3763 0.3763
Y2 0.3763 0.3763 0.8711
Y3 0.3763 0.8711 0.3763
Y4 0.8711 0.3763 0.3763
Cu1 0.0000 0.0000 0.0000
Ir1 0.7500 0.7500 0.7500

(2)
Here is an optimized crystal structure of Sc4MnBr from the Alexandria database. Energies are from PBE.

Computed properties:
Formation energy (no corrections), eV/f.u.: 3.04
Size of the total moment, μB/f.u.: 3.2

abc: 5.9521 5.9521 5.9521
angles: 60.00 60.00 60.00
Positions (direct):
Sc1 0.3774 0.3774 0.3774
Sc2 0.3774 0.3774 0.8678
Sc3 0.3774 0.8678 0.3774
Sc4 0.8678 0.3774 0.3774
Mn1 0.7500 0.7500 0.7500
Br1 0.0000 0.0000 0.0000

(3)
Here is an optimized crystal structure of KBa2ZnPd from the Alexandria database. Energies are from PBE.

Computed properties:
Size of the total moment, μB/f.u.: 0.3
Formation energy, kcal/mol of atoms: -3.6

abc: 6.2814 6.2814 5.2067
angles: 90.00 90.00 90.00
Positions (direct):
K1 0.0000 0.0000 0.0000
Ba1 0.0000 0.5000 0.5000
Ba2 0.5000 0.0000 0.5000
Zn1 0.5000 0.5000 0.0000
Pd1 0.5000 0.5000 0.5000

(4)
Here is an optimized crystal structure of Nd2ZnP from the Alexandria database. Energies are from PBE.

Computed properties:
Size of the total moment, μB/f.u.: 0.0
Formation energy, kcal/mol of atoms: -18.2

abc: 7.8645 7.8645 7.8645
angles: 30.23 30.23 30.23
Positions (direct):
Nd1 0.0000 0.0000 0.0000
Nd2 0.1904 0.1904 0.1904
Zn1 0.4276 0.4276 0.4276
P1 0.5950 0.5950 0.5950

Theoretical density list, top to bottom, in Mg/m³: 6.79 3.50 3.92 5.85